# BaCd2Ir, relaxed, DFT GGA-PBE
# Energy = -3.2652 eV per atom
data_BaCd2Ir
_space_group_name_H-M_alt 'R 3 m'
_space_group_IT_number 160
_space_group_name_Hall 'R 3 -2"'
_cell_length_a 4.8144
_cell_length_b 4.8144
_cell_length_c 16.9578
_cell_angle_alpha 90.00
_cell_angle_beta 90.00
_cell_angle_gamma 120.00
loop_
_atom_site_label
_atom_site_type_symbol
_atom_site_fract_x
_atom_site_fract_y
_atom_site_fract_z
Ba1 Ba 0.0000 0.0000 0.0000
Cd1 Cd 0.0000 0.0000 0.1958
Cd2 Cd 0.0000 0.0000 0.4735
Ir1 Ir 0.0000 0.0000 0.8115

***

# Ba4CdIr, relaxed, DFT GGA-PBE
# Energy = -3.0632 eV per atom
# Relative energy among the computed polymorphs = 0.1 kJ/mol of atoms
data_Ba4CdIr
_space_group_name_H-M_alt 'C 1 2/c 1'
_space_group_IT_number 15
_cell_length_a 17.941
_cell_length_b 7.657
_cell_length_c 8.384
_cell_angle_alpha 90.00
_cell_angle_beta 107.38
_cell_angle_gamma 90.00
loop_
_space_group_symop_operation_xyz
'x,y,z'
'-x,-y,-z'
'-x,y,-z+1/2'
'x,-y,z+1/2'
'x+1/2,y+1/2,z'
'-x+1/2,-y+1/2,-z'
'-x+1/2,y+1/2,-z+1/2'
'x+1/2,-y+1/2,z+1/2'
loop_
_atom_site_label
_atom_site_type_symbol
_atom_site_fract_x
_atom_site_fract_y
_atom_site_fract_z
Ba1 Ba 0.098 0.090 0.474
Ba2 Ba 0.178 0.433 0.151
Cd1 Cd 0.000 0.329 0.750
Ir1 Ir 0.250 0.250 0.500

***

# Ba8Cd2Ir, relaxed, DFT GGA-PBE
# Energy = -2.5231 eV per atom
# Relative energy among the computed polymorphs = 0.0 kJ/mol of atoms
data_Ba8Cd2Ir
_space_group_name_H-M_alt 'C 1 2/m 1'
_space_group_IT_number 12
_cell_length_a 24.903
_cell_length_b 4.711
_cell_length_c 9.639
_cell_angle_alpha 90.00
_cell_angle_beta 91.30
_cell_angle_gamma 90.00
loop_
_space_group_symop_operation_xyz
'x,y,z'
'-x,-y,-z'
'-x,y,-z'
'x,-y,z'
'x+1/2,y+1/2,z'
'-x+1/2,-y+1/2,-z'
'-x+1/2,y+1/2,-z'
'x+1/2,-y+1/2,z'
loop_
_atom_site_label
_atom_site_type_symbol
_atom_site_fract_x
_atom_site_fract_y
_atom_site_fract_z
Ba1 Ba 0.005 0.000 0.210
Ba2 Ba 0.102 0.500 0.513
Ba3 Ba 0.122 0.500 0.001
Ba4 Ba 0.237 0.000 0.704
Cd1 Cd 0.157 0.000 0.282
Ir1 Ir 0.000 0.500 0.000

***

# BaCdIr2, relaxed, DFT GGA-PBE
# Energy = -4.9499 eV per atom
data_BaCdIr2
_space_group_name_H-M_alt 'I -4 2 d'
_space_group_IT_number 122
_space_group_name_Hall 'I -4 2bw'
_cell_length_a 4.916
_cell_length_b 4.916
_cell_length_c 18.936
_cell_angle_alpha 90.00
_cell_angle_beta 90.00
_cell_angle_gamma 90.00
loop_
_atom_site_label
_atom_site_type_symbol
_atom_site_fract_x
_atom_site_fract_y
_atom_site_fract_z
Ba1 Ba 0.000 0.000 0.000
Cd1 Cd 0.000 0.000 0.500
Ir1 Ir 0.024 0.250 0.625

***

Number 1: volume 340.4 Å³ per cell, DOS at the Fermi energy 2.79 states/eV/f.u., ΔE_f -0.112 eV/atom. Number 2: volume 1099.3 Å³ per cell, DOS at the Fermi energy 3.52 states/eV/f.u., ΔE_f -0.152 eV/atom. Number 3: volume 1130.5 Å³ per cell, DOS at the Fermi energy 11.38 states/eV/f.u., ΔE_f -0.153 eV/atom. Number 4: volume 457.6 Å³ per cell, DOS at the Fermi energy 2.23 states/eV/f.u., ΔE_f 0.190 eV/atom.